Entry from Alexandria via LeMat-Bulk: a crystal of Cd2TePt relaxed with PBEsol (SCAN). Values from VASP.

The structure in Quantum ESPRESSO input format:
```
&SYSTEM
  ibrav = 0, nat = 4, ntyp = 3
/
ATOMIC_SPECIES
Cd 112.41 Cd.upf
Te 127.60 Te.upf
Pt 195.08 Pt.upf
ATOMIC_POSITIONS angstrom
Cd 1.429 1.846 0.000
Cd 1.429 -1.846 0.000
Te 0.000 0.000 1.944
Pt 2.859 0.000 1.944
CELL_PARAMETERS angstrom
2.859 -3.693 0.000
2.859 3.693 0.000
0.000 0.000 3.887
```

Results
**Uncorrected energy**: -42.08 eV per atom